Record 1
# ScNbNi

ScNbNi after structural relaxation (PBE, Alexandria).

Calculated values
The formation energy from the elements is -0.1646 eV per atom. The calculation puts the density at 6.3 Mg/m³. The size of the total moment comes out at 0.000 μB/cell.

Unit cell a=5.2460 b=5.2460 c=5.2460 alpha=117.95 beta=92.35 gamma=119.37
Last column: nearest neighbours and their distance in Å.
Element x y z (fractional)
Sc (0.1320, 0.2500, 0.3820)  6 Ni 3.00-3.13, 6 Nb 3.07-3.13, 4 Sc 3.15-3.32
Sc (0.8680, 0.7500, 0.6180)  6 Ni 3.00-3.13, 6 Nb 3.07-3.13, 4 Sc 3.15-3.32
Nb (0.4997, 0.9987, 0.0010)  4 Ni 2.62-2.63, 2 Nb 2.65
Nb (0.9977, 0.4987, 0.9990)  4 Ni 2.62-2.63, 2 Nb 2.65
Ni (0.4982, 0.4982, 0.0000)  4 Nb 2.62-2.63, 2 Ni 2.70
Ni (0.4982, 0.9982, 0.5000)  4 Nb 2.62-2.63, 2 Ni 2.70

Record 2
# Ac4SbPbN

Ac4SbPbN after structural relaxation (PBE, Alexandria).

Calculated values
The calculation puts the density at 8.7 Mg/m³. The size of the total moment comes out at 1.886 μB/cell. As for the raw formation energy: -0.81 eV/atom.

Unit cell a=9.8713 b=9.8713 c=7.1861 alpha=90.00 beta=90.00 gamma=137.02
Last column: nearest neighbours and their distance in Å.
Element x y z (fractional)
Ac (0.0000, 0.5000, 0.0000)  2 N 2.62
Ac (0.0000, 0.5000, 0.5000)  2 N 2.62
Ac (0.0727, 0.9273, 0.7500)  3 Pb 3.38-3.66, 2 Sb 3.69
Ac (0.4178, 0.5822, 0.7500)  1 N 2.48
Ac (0.5000, 0.0000, 0.0000)  2 N 2.62
Ac (0.5000, 0.0000, 0.5000)  2 N 2.62
Ac (0.5822, 0.4178, 0.2500)  1 N 2.48
Ac (0.9273, 0.0727, 0.2500)  3 Pb 3.38-3.66, 2 Sb 3.69
Sb (0.3875, 0.6125, 0.2500)  9 Ac 3.58-3.69
Sb (0.6125, 0.3875, 0.7500)  9 Ac 3.58-3.69
Pb (0.1115, 0.8885, 0.2500)  9 Ac 3.38-3.66
Pb (0.8885, 0.1115, 0.7500)  9 Ac 3.38-3.66
N (0.2826, 0.7174, 0.7500)  5 Ac 2.48-2.62
N (0.7174, 0.2826, 0.2500)  5 Ac 2.48-2.62

Record 3
# BiPO5

BiPO5 after structural relaxation (PBE, Alexandria).

Calculated values
The calculation puts the density at 5.2 Mg/m³. The size of the total moment comes out at 0.000 μB/cell. As for the raw formation energy: -1.40 eV/atom.

Unit cell a=10.6958 b=9.3567 c=7.3834 alpha=78.45 beta=58.99 gamma=42.56
Last column: nearest neighbours and their distance in Å.
Element x y z (fractional)
Bi (0.0000, 0.0000, 0.0000)  6 O 2.09-2.23
Bi (0.0000, 0.0000, 0.5000)  6 O 2.09-2.23
Bi (0.0000, 0.5000, 0.0000)  6 O 2.09-2.23
Bi (0.5000, 0.0000, 0.0000)  6 O 2.09-2.23
P (0.1625, 0.1625, 0.5875)  4 O 1.55-1.57
P (0.4125, 0.4125, 0.8375)  4 O 1.55-1.57
P (0.5875, 0.5875, 0.1625)  4 O 1.55-1.57
P (0.8375, 0.8375, 0.4125)  4 O 1.55-1.57
O (0.0091, 0.7704, 0.4410)  1 P 1.57
O (0.0537, 0.3764, 0.7115)  1 P 1.55
O (0.0565, 0.0565, 0.1935)  2 Bi 2.09
O (0.1935, 0.1935, 0.0565)  2 Bi 2.09
O (0.2296, 0.9909, 0.7206)  1 P 1.57
O (0.2794, 0.4410, 0.7704)  1 P 1.57
O (0.2885, 0.6416, 0.9463)  1 P 1.55
O (0.3584, 0.7115, 0.3764)  1 P 1.55
O (0.3764, 0.0537, 0.3584)  1 P 1.55
O (0.4410, 0.2794, 0.0091)  1 P 1.57
O (0.5590, 0.7206, 0.9909)  1 P 1.57
O (0.6236, 0.9463, 0.6416)  1 P 1.55
O (0.6416, 0.2885, 0.6236)  1 P 1.55
O (0.7115, 0.3584, 0.0537)  1 P 1.55
O (0.7206, 0.5590, 0.2296)  1 P 1.57
O (0.7704, 0.0091, 0.2794)  1 P 1.57
O (0.8065, 0.8065, 0.9435)  2 Bi 2.09
O (0.9435, 0.9435, 0.8065)  2 Bi 2.09
O (0.9463, 0.6236, 0.2885)  1 P 1.55
O (0.9909, 0.2296, 0.5590)  1 P 1.57

Record 4
# Tb12Ni5Bi

Tb12Ni5Bi after structural relaxation (PBE, Alexandria).

Calculated values
The formation energy from the elements is -0.3637 eV per atom. The calculation puts the density at 8.8 Mg/m³. The size of the total moment comes out at 0.000 μB/cell.

Unit cell a=8.4072 b=8.4072 c=8.4072 alpha=111.83 beta=109.58 gamma=107.04
Last column: nearest neighbours and their distance in Å.
Element x y z (fractional)
Tb (0.0125, 0.2050, 0.8076)  2 Ni 2.66-2.77
Tb (0.1795, 0.2960, 0.4755)  2 Ni 2.87
Tb (0.1795, 0.7040, 0.8835)  2 Ni 2.87
Tb (0.3200, 0.0120, 0.6920)  3 Ni 2.67-2.86
Tb (0.3200, 0.6281, 0.3080)  3 Ni 2.67-2.86
Tb (0.3974, 0.2050, 0.1924)  2 Ni 2.66-2.77
Tb (0.6026, 0.7950, 0.8076)  2 Ni 2.66-2.77
Tb (0.6800, 0.3719, 0.6920)  3 Ni 2.67-2.86
Tb (0.6800, 0.9880, 0.3080)  3 Ni 2.67-2.86
Tb (0.8205, 0.2960, 0.1165)  2 Ni 2.87
Tb (0.8205, 0.7040, 0.5245)  2 Ni 2.87
Tb (0.9875, 0.7950, 0.1924)  2 Ni 2.66-2.77
Ni (0.0000, 0.0000, 0.0000)  4 Tb 2.77
Ni (0.1237, 0.6237, 0.5000)  1 Ni 2.47, 2 Tb 2.67
Ni (0.3678, 0.0000, 0.3678)  1 Ni 2.56, 6 Tb 2.66-2.86
Ni (0.6322, 0.0000, 0.6322)  1 Ni 2.56, 6 Tb 2.66-2.86
Ni (0.8763, 0.3763, 0.5000)  1 Ni 2.47, 2 Tb 2.67
Bi (0.5000, 0.5000, 0.0000)  12 Tb 3.41-3.65

Record 5
# TaSe

TaSe after structural relaxation (PBE, Alexandria).

Calculated values
The calculation puts the density at 12.0 Mg/m³. The size of the total moment comes out at 0.000 μB/cell. As for the raw formation energy: 0.30 eV/atom.

Unit cell a=5.1598 b=5.1598 c=5.1598 alpha=133.08 beta=133.08 gamma=68.53
Last column: nearest neighbours and their distance in Å.
Element x y z (fractional)
Ta (0.3750, 0.6250, 0.7500)  8 Se 2.91-2.96, 4 Ta 2.96
Ta (0.6250, 0.3750, 0.2500)  8 Se 2.91-2.96, 4 Ta 2.96
Se (0.1250, 0.8750, 0.2500)  8 Ta 2.91-2.96, 4 Se 2.96
Se (0.8750, 0.1250, 0.7500)  8 Ta 2.91-2.96, 4 Se 2.96

Record 6
# Li2Cd2Hg2Bi

Li2Cd2Hg2Bi after structural relaxation (PBE, Alexandria).

Calculated values
The formation energy from the elements is -0.1535 eV per atom. The calculation puts the density at 8.9 Mg/m³. The size of the total moment comes out at 0.000 μB/cell.

Unit cell a=8.2054 b=8.2054 c=8.2054 alpha=34.51 beta=34.51 gamma=34.51
Last column: nearest neighbours and their distance in Å.
Element x y z (fractional)
Li (0.2170, 0.2170, 0.2170)  4 Cd 2.94-3.20, 3 Bi 3.04, 1 Hg 3.23
Li (0.7830, 0.7830, 0.7830)  4 Cd 2.94-3.20, 3 Bi 3.04, 1 Hg 3.23
Cd (0.0786, 0.0786, 0.0786)  4 Li 2.94-3.20, 3 Hg 3.09
Cd (0.9214, 0.9214, 0.9214)  4 Li 2.94-3.20, 3 Hg 3.09
Hg (0.3565, 0.3565, 0.3565)  3 Hg 3.01, 3 Cd 3.09, 1 Li 3.23, 1 Bi 3.32
Hg (0.6435, 0.6435, 0.6435)  3 Hg 3.01, 3 Cd 3.09, 1 Li 3.23, 1 Bi 3.32
Bi (0.5000, 0.5000, 0.5000)  6 Li 3.04, 2 Hg 3.32

Record 7
# NaTc2NiAu

NaTc2NiAu after structural relaxation (PBE, Alexandria).

Calculated values
The formation energy from the elements is 2.4802 eV per atom. The calculation puts the density at 9.0 Mg/m³. The size of the total moment comes out at 0.019 μB/cell.

Unit cell a=4.4318 b=4.4318 c=4.4809 alpha=90.00 beta=90.00 gamma=90.00
Last column: nearest neighbours and their distance in Å.
Element x y z (fractional)
Na (0.0000, 0.0000, 0.0000)  4 Tc 2.22, 2 Au 2.24
Tc (0.0000, 0.5000, 0.0000)  2 Na 2.22
Tc (0.5000, 0.0000, 0.0000)  2 Na 2.22
Ni (0.5000, 0.5000, 0.5000)  4 Au 3.13, 8 Tc 3.15
Au (0.0000, 0.0000, 0.5000)  2 Na 2.24

Record 8
# Pa2NbRu9

Pa2NbRu9 after structural relaxation (PBE, Alexandria).

Calculated values
The formation energy from the elements is -0.2881 eV per atom. The calculation puts the density at 12.7 Mg/m³. The size of the total moment comes out at 0.000 μB/cell.

Unit cell a=4.0078 b=4.0078 c=11.9431 alpha=90.00 beta=90.00 gamma=90.00
Last column: nearest neighbours and their distance in Å.
Element x y z (fractional)
Pa (0.0000, 0.0000, 0.1700)  12 Ru 2.83-2.89
Pa (0.0000, 0.0000, 0.8300)  12 Ru 2.83-2.89
Nb (0.0000, 0.0000, 0.5000)  12 Ru 2.73-2.83
Ru (0.0000, 0.5000, 0.0000)  8 Ru 2.83-2.87, 4 Pa 2.85
Ru (0.0000, 0.5000, 0.3446)  2 Nb 2.73, 8 Ru 2.73-2.87, 2 Pa 2.89
Ru (0.0000, 0.5000, 0.6554)  2 Nb 2.73, 8 Ru 2.73-2.87, 2 Pa 2.89
Ru (0.5000, 0.0000, 0.0000)  8 Ru 2.83-2.87, 4 Pa 2.85
Ru (0.5000, 0.0000, 0.3446)  2 Nb 2.73, 8 Ru 2.73-2.87, 2 Pa 2.89
Ru (0.5000, 0.0000, 0.6554)  2 Nb 2.73, 8 Ru 2.73-2.87, 2 Pa 2.89
Ru (0.5000, 0.5000, 0.1724)  4 Pa 2.83, 8 Ru 2.87
Ru (0.5000, 0.5000, 0.5000)  8 Ru 2.73, 4 Nb 2.83
Ru (0.5000, 0.5000, 0.8276)  4 Pa 2.83, 8 Ru 2.87

Record 9
# PrYSb

PrYSb after structural relaxation (PBE, Alexandria).

Calculated values
The calculation puts the density at 6.4 Mg/m³. The size of the total moment comes out at 0.000 μB/cell. As for the raw formation energy: -0.86 eV/atom.

Unit cell a=4.5804 b=4.5804 c=8.7381 alpha=90.00 beta=90.00 gamma=90.00
Last column: nearest neighbours and their distance in Å.
Element x y z (fractional)
Pr (0.2500, 0.2500, 0.1475)  5 Sb 3.31-3.32
Pr (0.7500, 0.7500, 0.8525)  5 Sb 3.31-3.32
Y (0.2500, 0.7500, 0.5000)  4 Y 3.24, 4 Sb 3.28
Y (0.7500, 0.2500, 0.5000)  4 Y 3.24, 4 Sb 3.28
Sb (0.2500, 0.2500, 0.7688)  4 Y 3.28, 5 Pr 3.31-3.32
Sb (0.7500, 0.7500, 0.2312)  4 Y 3.28, 5 Pr 3.31-3.32

Record 10
# Bi3Pd3Pb

Bi3Pd3Pb after structural relaxation (PBE, Alexandria).

Calculated values
The formation energy from the elements is -0.1924 eV per atom. The calculation puts the density at 11.0 Mg/m³. The size of the total moment comes out at 0.000 μB/cell.

Unit cell a=7.4425 b=7.4425 c=7.4425 alpha=69.30 beta=69.30 gamma=69.30
Last column: nearest neighbours and their distance in Å.
Element x y z (fractional)
Bi (0.1065, 0.8354, 0.3518)  5 Pd 2.82-3.07
Bi (0.1646, 0.6482, 0.8935)  5 Pd 2.82-3.07
Bi (0.3518, 0.1065, 0.8354)  5 Pd 2.82-3.07
Bi (0.6482, 0.8935, 0.1646)  5 Pd 2.82-3.07
Bi (0.8354, 0.3518, 0.1065)  5 Pd 2.82-3.07
Bi (0.8935, 0.1646, 0.6482)  5 Pd 2.82-3.07
Pd (0.0676, 0.4683, 0.6765)  5 Bi 2.82-3.07, 2 Pb 2.84-2.88, 1 Pd 2.97
Pd (0.3235, 0.9324, 0.5317)  5 Bi 2.82-3.07, 2 Pb 2.84-2.88, 1 Pd 2.97
Pd (0.4683, 0.6765, 0.0676)  5 Bi 2.82-3.07, 2 Pb 2.84-2.88, 1 Pd 2.97
Pd (0.5317, 0.3235, 0.9324)  5 Bi 2.82-3.07, 2 Pb 2.84-2.88, 1 Pd 2.97
Pd (0.6765, 0.0676, 0.4683)  5 Bi 2.82-3.07, 2 Pb 2.84-2.88, 1 Pd 2.97
Pd (0.9324, 0.5317, 0.3235)  5 Bi 2.82-3.07, 2 Pb 2.84-2.88, 1 Pd 2.97
Pb (0.3331, 0.3331, 0.3331)  6 Pd 2.84-2.88
Pb (0.6669, 0.6669, 0.6669)  6 Pd 2.84-2.88

Record 11
# Sm2DyPt2

Sm2DyPt2 after structural relaxation (PBE, Alexandria).

Calculated values
The formation energy from the elements is -1.0030 eV per atom. The calculation puts the density at 11.4 Mg/m³. The size of the total moment comes out at 0.000 μB/cell.

Unit cell a=7.8128 b=7.8128 c=4.0611 alpha=90.00 beta=90.00 gamma=90.00
Last column: nearest neighbours and their distance in Å.
Element x y z (fractional)
Sm (0.1628, 0.3372, 0.0000)  6 Pt 2.99-3.11
Sm (0.3372, 0.8372, 0.0000)  6 Pt 2.99-3.11
Sm (0.6628, 0.1628, 0.0000)  6 Pt 2.99-3.11
Sm (0.8372, 0.6628, 0.0000)  6 Pt 2.99-3.11
Dy (0.0000, 0.0000, 0.5000)  4 Pt 3.03
Dy (0.5000, 0.5000, 0.5000)  4 Pt 3.03
Pt (0.1381, 0.6381, 0.5000)  6 Sm 2.99-3.11, 2 Dy 3.03, 1 Pt 3.05
Pt (0.3619, 0.1381, 0.5000)  6 Sm 2.99-3.11, 2 Dy 3.03, 1 Pt 3.05
Pt (0.6381, 0.8619, 0.5000)  6 Sm 2.99-3.11, 2 Dy 3.03, 1 Pt 3.05
Pt (0.8619, 0.3619, 0.5000)  6 Sm 2.99-3.11, 2 Dy 3.03, 1 Pt 3.05

Record 12
# Cs2AlIn7

Cs2AlIn7 after structural relaxation (PBE, Alexandria).

Calculated values
The formation energy from the elements is -0.0633 eV per atom. The calculation puts the density at 5.6 Mg/m³. The size of the total moment comes out at 0.000 μB/cell.

Unit cell a=5.0672 b=5.0672 c=12.7574 alpha=90.00 beta=90.00 gamma=90.00
Last column: nearest neighbours and their distance in Å.
Element x y z (fractional)
Cs (0.0000, 0.5000, 0.2459)  14 In 3.89-4.11, 2 Al 4.03
Cs (0.5000, 0.0000, 0.7541)  14 In 3.89-4.11, 2 Al 4.03
Al (0.5000, 0.5000, 0.0000)  4 In 3.00
In (0.0000, 0.0000, 0.0000)  4 In 3.00
In (0.0000, 0.0000, 0.5000)  4 In 3.07
In (0.0000, 0.5000, 0.6361)  5 In 3.04-3.07
In (0.0000, 0.5000, 0.8743)  3 In 3.00-3.04, 2 Al 3.00
In (0.5000, 0.0000, 0.1257)  3 In 3.00-3.04, 2 Al 3.00
In (0.5000, 0.0000, 0.3639)  5 In 3.04-3.07
In (0.5000, 0.5000, 0.5000)  4 In 3.07

Number 1: volume 17.34 A^3/atom. Number 2: volume 34.10 A^3/atom. Number 3: volume 14.55 A^3/atom. Number 4: volume 25.37 A^3/atom. Number 5: volume 18.00 A^3/atom. Number 6: volume 22.60 A^3/atom. Number 7: volume 17.60 A^3/atom. Number 8: volume 15.99 A^3/atom. Number 9: volume 30.55 A^3/atom. Number 10: volume 24.87 A^3/atom. Number 11: volume 24.79 A^3/atom. Number 12: volume 32.76 A^3/atom.